Sr2ZrCuAu after structural relaxation, computed with GGA-PBEsol.

a b c (Å): 5.135 5.867 5.867
angles (deg): 90.00 90.00 90.00
Last column: magnetic moment on the atom in μB.
Atoms (fractional coordinates):
Sr  0.000  0.000  0.500  0.01
Sr  0.000  0.500  0.000  0.01
Au  0.000  0.000  0.000  0.01
Cu  0.500  0.500  0.500  0.00
Zr  0.500  0.000  0.000  0.47

Output
The calculation puts the spin magnetization at 0.96 Bohr magnetons per cell. As for the density of states at the Fermi level: 1.0893 states/eV/atom.

---

TaCuAu2 after structural relaxation, computed with GGA-PBEsol.

a b c (Å): 2.777 4.807 5.005
angles (deg): 98.73 90.00 106.79
Atoms (fractional coordinates):
Au  0.747  0.494  0.747
Au  0.253  0.506  0.253
Cu  0.000  0.000  0.500
Ta  0.500  0.000  0.000

Output
The calculation puts the spin magnetization at 0.00 Bohr magnetons per cell. As for the density of states at the Fermi level: 0.6330 states/eV/atom.

---

Ta2CuAu after structural relaxation, computed with GGA-PBEsol.

a b c (Å): 2.813 2.813 8.062
angles (deg): 90.00 90.00 86.18
Atoms (fractional coordinates):
Au  0.000  0.000  0.482
Cu  0.500  0.500  0.253
Ta  0.000  0.000  0.021
Ta  0.500  0.500  0.744

Output
The calculation puts the spin magnetization at 0.00 Bohr magnetons per cell. As for the density of states at the Fermi level: 0.7284 states/eV/atom.

---

Electronic total energy in eV per atom, matching the order above: -3.721; -6.100; -8.373
Formation energy from the elements in eV per atom, matching the order above: 0.485; 0.083; -0.033